Below is crystalline LiCu2IO6 at its relaxed geometry, with properties calculated at the PBE-GGA level.

a b c (Å): 10.0263 9.0605 5.0909
angles (deg): 90.00 97.38 90.00
Closest atoms and distances in Å follow each position.
Space group C2/c (No. 15)
One atom of each set of equivalent atoms:
Li (0.0000, 0.0745, 0.2500) (multiplicity 4)  6 O 2.13-2.20
Cu (0.2288, 0.3536, 0.2513) (multiplicity 8)  4 O 1.92-2.02
I (0.0000, 0.2685, 0.7500) (multiplicity 4)  6 O 1.88-1.98
O (0.1083, 0.4105, 0.9444) (multiplicity 8)  1 I 1.88, 1 Cu 1.92
O (0.1095, 0.1097, 0.9243) (multiplicity 8)  1 I 1.95, 1 Cu 1.98, 2 Li 2.13
O (0.1260, 0.2371, 0.4860) (multiplicity 8)  1 I 1.98, 2 Cu 1.98-2.02, 1 Li 2.20

***

Below is crystalline LiCuI2O8 at its relaxed geometry, with properties calculated at the PBE-GGA level.

a b c (Å): 6.6929 6.6929 7.5110
angles (deg): 90.00 90.00 90.00
Closest atoms and distances in Å follow each position.
Space group I-4m2 (No. 119)
One atom of each set of equivalent atoms:
Li (0.0000, 0.0000, 0.0000) (multiplicity 2)  4 O 2.07
Cu (0.0000, 0.5000, 0.7500) (multiplicity 2)  4 O 2.01
I (0.0000, 0.0000, 0.5000) (multiplicity 2)  4 O 1.85
I (0.0000, 0.5000, 0.2500) (multiplicity 2)  4 O 1.79
O (0.0000, 0.2249, 0.6442) (multiplicity 8)  1 I 1.85, 1 Cu 2.01
O (0.0000, 0.2843, 0.1097) (multiplicity 8)  1 I 1.79

***

Below is crystalline LiCu2PbI6 at its relaxed geometry, with properties calculated at the PBE-GGA level.

a b c (Å): 14.3820 13.4267 7.5316
angles (deg): 90.00 100.91 90.00
Closest atoms and distances in Å follow each position.
Space group C2/c (No. 15)
One atom of each set of equivalent atoms:
Li (0.0000, 0.2143, 0.2500) (multiplicity 4)  4 I 2.93-2.95
Cu (0.1808, 0.0802, 0.8028) (multiplicity 8)  4 I 2.58-2.70
Pb (0.0000, 0.4000, 0.7500) (multiplicity 4)  6 I 3.16-3.38
I (0.1234, 0.2348, 0.6045) (multiplicity 8)  1 Cu 2.60
I (0.1288, 0.4040, 0.1528) (multiplicity 8)  1 Cu 2.70
I (0.1341, 0.0797, 0.1175) (multiplicity 8)  2 Cu 2.58

***

Going through the records in order, we get VASP energy values of -0.1745 -0.1600 -0.1019 Ha/atom.